Compound: Cd2AgSbTe4
Source: Alexandria via LeMat-Bulk
Functional: PBE
Structure: relaxed

POSCAR file:
```
Cd2AgSbTe4
1.0
6.677 0.276 0.000
-0.279 6.677 0.000
-3.199 -3.477 6.672
Te Sb Cd Ag
4 1 2 1
direct
0.390 0.865 0.254 Te
0.610 0.610 0.746 Te
0.865 0.390 0.254 Te
0.136 0.136 0.746 Te
0.000 0.000 0.000 Sb
0.250 0.750 0.500 Cd
0.750 0.250 0.500 Cd
0.500 0.500 0.001 Ag
```

Properties
E_form (uncorrected)   -156 kJ/mol of formula units
Symmetry   No. 42
E_tot   -22.99 eV/cell

Compound: KBa2Pb2
Source: Alexandria via LeMat-Bulk
Functional: PBE
Structure: relaxed

POSCAR file:
```
KBa2Pb2
1.0
5.908 0.000 0.000
0.000 5.908 0.000
2.954 2.954 7.150
Pb Ba K
2 2 1
direct
0.604 0.604 0.792 Pb
0.396 0.396 0.208 Pb
0.750 0.250 0.500 Ba
0.250 0.750 0.500 Ba
0.000 0.000 0.000 K
```

Properties
Fermi-level density of states   1.30 states/eV per atom
Energy above the most stable polymorph in this dataset   0.2015 eV per atom
Symmetry   No. 139
E_tot   -13.35 eV/cell
Energy of formation   -0.99 eV per formula unit

Compound: K2ZnOs2
Source: Alexandria via LeMat-Bulk
Functional: PBE
Structure: relaxed

POSCAR file:
```
K2ZnOs2
1.0
-1.531 2.413 2.045
0.190 -2.198 2.736
9.603 4.348 5.081
Zn K Os
1 2 2
direct
0.000 0.000 0.000 Zn
0.380 0.380 0.241 K
0.620 0.620 0.759 K
0.250 0.750 0.500 Os
0.750 0.250 0.500 Os
```

Properties
Fermi-level density of states   0.92 states/eV per atom
Energy above the most stable polymorph in this dataset   0.0000 eV per atom
Symmetry   No. 139
E_tot   -22.00 eV/cell
Energy of formation   3.93 eV per formula unit

Compound: Rb2UPt3O12
Source: Alexandria via LeMat-Bulk
Functional: PBE
Structure: relaxed

POSCAR file:
```
Rb2UPt3O12
1.0
0.113 0.647 -7.564
6.357 -0.565 -4.113
1.429 -5.840 -4.637
O Pt Rb U
12 3 2 1
direct
0.932 0.329 0.932 O
0.916 0.325 0.325 O
0.675 0.675 0.084 O
0.329 0.932 0.932 O
0.068 0.068 0.671 O
0.932 0.932 0.329 O
0.325 0.325 0.916 O
0.671 0.068 0.068 O
0.675 0.084 0.675 O
0.325 0.916 0.325 O
0.084 0.675 0.675 O
0.068 0.671 0.068 O
0.500 0.000 0.000 Pt
0.000 0.500 0.000 Pt
0.000 0.000 0.500 Pt
0.617 0.617 0.617 Rb
0.383 0.383 0.383 Rb
0.000 0.000 0.000 U
```

Properties
Fermi-level density of states   0.68 states/eV per atom
E_form (uncorrected)   -2121 kJ/mol of formula units
Symmetry   No. 166
E_tot   -112.82 eV/cell

Compound: Sc4InPt
Source: Alexandria via LeMat-Bulk
Functional: PBE
Structure: relaxed

POSCAR file:
```
Sc4InPt
1.0
7.889 0.000 4.555
2.630 7.438 4.555
0.000 0.000 9.109
Sc Pt In
16 4 4
direct
0.189 0.811 0.189 Sc
0.940 0.560 0.940 Sc
0.189 0.811 0.811 Sc
0.396 0.812 0.396 Sc
0.560 0.940 0.940 Sc
0.396 0.396 0.396 Sc
0.560 0.940 0.560 Sc
0.560 0.560 0.940 Sc
0.940 0.940 0.560 Sc
0.812 0.396 0.396 Sc
0.811 0.811 0.189 Sc
0.189 0.189 0.811 Sc
0.811 0.189 0.811 Sc
0.940 0.560 0.560 Sc
0.811 0.189 0.189 Sc
0.396 0.396 0.812 Sc
0.606 0.606 0.606 Pt
0.606 0.606 0.181 Pt
0.606 0.181 0.606 Pt
0.181 0.606 0.606 Pt
0.508 0.164 0.164 In
0.164 0.508 0.164 In
0.164 0.164 0.508 In
0.164 0.164 0.164 In
```

Properties
Fermi-level density of states   1.13 states/eV per atom
Energy above the most stable polymorph in this dataset   0.0000 eV per atom
Symmetry   No. 216
E_tot   -152.28 eV/cell
Energy of formation   -3.97 eV per formula unit

Compound: SmH4I3O11
Source: Alexandria via LeMat-Bulk
Functional: PBE
Structure: relaxed

POSCAR file:
```
SmH4I3O11
1.0
-1.808 6.378 -2.767
-5.913 -4.667 -0.728
-1.000 0.801 10.966
O I Sm H
22 6 2 8
direct
0.274 0.840 0.714 O
0.111 0.037 0.839 O
0.396 0.160 0.367 O
0.726 0.160 0.286 O
0.139 0.911 0.471 O
0.252 0.447 0.250 O
0.748 0.553 0.750 O
0.211 0.532 0.482 O
0.605 0.798 0.914 O
0.365 0.275 0.600 O
0.395 0.202 0.086 O
0.604 0.840 0.633 O
0.889 0.963 0.161 O
0.861 0.089 0.529 O
0.452 0.375 0.878 O
0.635 0.725 0.400 O
0.789 0.468 0.518 O
0.924 0.566 0.254 O
0.755 0.207 0.875 O
0.245 0.793 0.125 O
0.076 0.434 0.746 O
0.548 0.625 0.122 O
0.792 0.362 0.664 I
0.193 0.154 0.436 I
0.208 0.638 0.336 I
0.240 0.267 0.942 I
0.760 0.733 0.058 I
0.807 0.846 0.564 I
0.406 0.583 0.713 Sm
0.594 0.417 0.287 Sm
0.236 0.914 0.776 H
0.739 0.103 0.364 H
0.301 0.931 0.128 H
0.352 0.744 0.113 H
0.648 0.256 0.887 H
0.764 0.086 0.224 H
0.699 0.069 0.872 H
0.261 0.897 0.636 H
```

Properties
Fermi-level density of states   0.00 states/eV per atom
Symmetry   No. 2
E_tot   -193.01 eV/cell

Compound: HgSbPb6
Source: Alexandria via LeMat-Bulk
Functional: PBE
Structure: relaxed

POSCAR file:
```
HgSbPb6
1.0
3.626 0.000 0.000
0.000 8.251 -0.051
0.000 0.054 8.251
Sb Pb Hg
1 6 1
direct
0.500 0.000 0.000 Sb
0.000 0.239 0.239 Pb
0.500 0.000 0.500 Pb
0.000 0.761 0.761 Pb
0.000 0.239 0.761 Pb
0.000 0.761 0.239 Pb
0.500 0.500 0.000 Pb
0.500 0.500 0.500 Hg
```

Properties
Fermi-level density of states   0.52 states/eV per atom
E_form (uncorrected)   30 kJ/mol of formula units
Energy above the most stable polymorph in this dataset   0.0000 eV per atom
Symmetry   No. 123
E_tot   -26.36 eV/cell

Compound: CuTc2Br
Source: Alexandria via LeMat-Bulk
Functional: PBE
Structure: relaxed

POSCAR file:
```
CuTc2Br
1.0
2.907 0.000 0.000
0.000 4.980 -0.034
0.000 3.285 4.155
Tc Cu Br
2 1 1
direct
0.000 0.000 0.000 Tc
0.500 0.500 0.000 Tc
0.000 0.000 0.500 Cu
0.500 0.500 0.500 Br
```

Properties
Fermi-level density of states   0.92 states/eV per atom
E_form (uncorrected)   321 kJ/mol of formula units
Energy above the most stable polymorph in this dataset   0.4763 eV per atom
Symmetry   No. 10
E_tot   -23.17 eV/cell

Compound: ZrSc2NbH
Source: Alexandria via LeMat-Bulk
Functional: PBE
Structure: relaxed

POSCAR file:
```
ZrSc2NbH
1.0
-1.963 2.156 -3.325
-3.546 0.700 2.547
1.800 3.864 1.443
Sc Nb Zr H
2 1 1 1
direct
0.000 0.500 0.000 Sc
0.500 0.000 0.000 Sc
0.500 0.500 0.500 Nb
0.000 0.000 0.500 Zr
0.000 0.000 0.000 H
```

Properties
Fermi-level density of states   1.00 states/eV per atom
Energy above the most stable polymorph in this dataset   0.0000 eV per atom
Symmetry   No. 123
E_tot   -34.96 eV/cell

Compound: ZnTeSe2
Source: Alexandria via LeMat-Bulk
Functional: PBE
Structure: relaxed

POSCAR file:
```
ZnTeSe2
1.0
4.981 0.000 0.000
0.000 4.981 0.000
0.000 0.000 3.523
Zn Te Se
1 1 2
direct
0.000 0.500 0.500 Zn
0.500 0.000 0.500 Te
0.500 0.500 0.000 Se
0.000 0.000 0.000 Se
```

Properties
Fermi-level density of states   0.49 states/eV per atom
E_form (uncorrected)   93 kJ/mol of formula units
Energy above the most stable polymorph in this dataset   0.3645 eV per atom
Symmetry   No. 123
E_tot   -10.43 eV/cell

Compound: Na3HoPd2O6
Source: Alexandria via LeMat-Bulk
Functional: PBE
Structure: relaxed

POSCAR file:
```
Na3HoPd2O6
1.0
5.645 -0.071 0.032
-2.882 4.855 0.032
-0.891 -1.543 5.506
O Na Ho Pd
6 3 1 2
direct
0.087 0.425 0.211 O
0.425 0.087 0.211 O
0.913 0.575 0.789 O
0.266 0.266 0.773 O
0.734 0.734 0.227 O
0.575 0.913 0.789 O
0.825 0.175 0.500 Na
0.500 0.500 0.500 Na
0.175 0.825 0.500 Na
0.000 0.000 0.000 Ho
0.665 0.335 0.000 Pd
0.335 0.665 0.000 Pd
```

Properties
Fermi-level density of states   0.21 states/eV per atom
E_form (uncorrected)   -1694 kJ/mol of formula units
Symmetry   No. 12
E_tot   -66.23 eV/cell

Compound: Hf7Al2Zn2
Source: Alexandria via LeMat-Bulk
Functional: PBE
Structure: relaxed

POSCAR file:
```
Hf7Al2Zn2
1.0
6.000 -0.003 -0.855
0.003 6.843 0.003
-1.228 -0.002 5.935
Hf Al Zn
7 2 2
direct
0.500 0.262 0.500 Hf
0.500 0.714 0.000 Hf
0.500 0.738 0.500 Hf
0.500 0.286 0.000 Hf
0.000 0.000 0.000 Hf
0.000 0.286 0.500 Hf
0.000 0.714 0.500 Hf
0.176 0.500 0.176 Al
0.824 0.500 0.824 Al
0.710 0.000 0.290 Zn
0.290 0.000 0.710 Zn
```

Properties
Fermi-level density of states   1.03 states/eV per atom
Symmetry   No. 65
E_tot   -77.02 eV/cell
Energy of formation   2.69 eV per formula unit